An optimized crystal structure of CaPr4Nd15, computed with PBE-GGA.

## Properties
Volume (Å³/atom): 35.7
Total DFT energy (no corrections) (eV/cell): -92.18
DFT formation energy (eV per atom): 0.02

Cell and atoms, written as CIF:
```
data_CaPr4Nd15
_chemical_formula_sum 'Ca1 Pr4 Nd15'
_cell_length_a 5.237
_cell_length_b 5.237
_cell_length_c 26.056
_cell_angle_alpha 90.00
_cell_angle_beta 90.00
_cell_angle_gamma 90.00
_space_group_name_H-M_alt 'P 4/m m m'
_space_group_IT_number 123
_space_group_name_Hall '-P 4 2'
loop_
_atom_site_label
_atom_site_type_symbol
_atom_site_fract_x
_atom_site_fract_y
_atom_site_fract_z
_atom_site_occupancy
Ca1 Ca 0.000 0.000 0.000 1
Pr1 Pr 0.000 0.000 0.200 1
Pr2 Pr 0.000 0.000 0.400 1
Nd1 Nd 0.000 0.500 0.102 1
Nd2 Nd 0.000 0.500 0.300 1
Nd3 Nd 0.000 0.500 0.500 1
Nd4 Nd 0.500 0.500 0.000 1
Nd5 Nd 0.500 0.500 0.199 1
Nd6 Nd 0.500 0.500 0.400 1
```



An optimized crystal structure of Ca2Pr8Nd3, computed with PBE-GGA.

## Properties
Volume (Å³/atom): 36.9
Total DFT energy (no corrections) (eV/cell): -108.54
DFT formation energy (eV per atom): 0.17

Cell and atoms, written as CIF:
```
data_Ca2Pr8Nd3
_chemical_formula_sum 'Ca4 Pr16 Nd6'
_cell_length_a 13.783
_cell_length_b 11.925
_cell_length_c 6.474
_cell_angle_alpha 90.00
_cell_angle_beta 115.66
_cell_angle_gamma 90.00
_space_group_name_H-M_alt 'C 1 2/m 1'
_space_group_IT_number 12
_space_group_name_Hall '-C 2y'
loop_
_atom_site_label
_atom_site_type_symbol
_atom_site_fract_x
_atom_site_fract_y
_atom_site_fract_z
_atom_site_occupancy
Ca1 Ca 0.219 0.000 0.367 1
Pr1 Pr 0.051 0.000 0.791 1
Pr2 Pr 0.155 0.500 0.040 1
Pr3 Pr 0.164 0.239 0.671 1
Nd1 Nd 0.000 0.266 0.000 1
Nd2 Nd 0.000 0.500 0.500 1
```



An optimized crystal structure of Ca2Pr15Nd2, computed with PBE-GGA.

## Properties
Volume (Å³/atom): 38.2
Total DFT energy (no corrections) (eV/cell): -243.01
DFT formation energy (eV per atom): 0.22

Cell and atoms, written as CIF:
```
data_Ca2Pr15Nd2
_chemical_formula_sum 'Ca6 Pr45 Nd6'
_cell_length_a 11.8074
_cell_length_b 11.8074
_cell_length_c 18.0109
_cell_angle_alpha 90.00
_cell_angle_beta 90.00
_cell_angle_gamma 120.00
_space_group_name_H-M_alt 'R -3 m'
_space_group_IT_number 166
_space_group_name_Hall '-R 3 2"'
loop_
_atom_site_label
_atom_site_type_symbol
_atom_site_fract_x
_atom_site_fract_y
_atom_site_fract_z
_atom_site_occupancy
Ca1 Ca 0.0000 0.0000 0.1690 1
Pr1 Pr 0.0000 0.2971 0.5000 1
Pr2 Pr 0.0000 0.5000 0.0000 1
Pr3 Pr 0.0081 0.5041 0.6399 1
Nd1 Nd 0.0000 0.0000 0.4079 1
```



An optimized crystal structure of CaPr3Nd, computed with PBE-GGA.

## Properties
Volume (Å³/atom): 37.5
Total DFT energy (no corrections) (eV/cell): -81.39
Offset from the most stable computed form (kJ/mol of formula units): 0
DFT formation energy (eV per atom): 0.15

Cell and atoms, written as CIF:
```
data_CaPr3Nd
_chemical_formula_sum 'Ca4 Pr12 Nd4'
_cell_length_a 5.623
_cell_length_b 11.552
_cell_length_c 11.554
_cell_angle_alpha 90.00
_cell_angle_beta 90.00
_cell_angle_gamma 90.00
_space_group_name_H-M_alt 'C m m m'
_space_group_IT_number 65
_space_group_name_Hall '-C 2 2'
loop_
_atom_site_label
_atom_site_type_symbol
_atom_site_fract_x
_atom_site_fract_y
_atom_site_fract_z
_atom_site_occupancy
Ca1 Ca 0.000 0.157 0.000 1
Pr1 Pr 0.000 0.153 0.305 1
Pr2 Pr 0.000 0.500 0.185 1
Nd1 Nd 0.000 0.362 0.500 1
```



An optimized crystal structure of CaPr7Nd5, computed with PBE-GGA.

## Properties
Volume (Å³/atom): 37.2
Total DFT energy (no corrections) (eV/cell): -113.27
DFT formation energy (eV per atom): 0.20

Cell and atoms, written as CIF:
```
data_CaPr7Nd5
_chemical_formula_sum 'Ca2 Pr14 Nd10'
_cell_length_a 6.895
_cell_length_b 11.625
_cell_length_c 12.073
_cell_angle_alpha 90.00
_cell_angle_beta 90.00
_cell_angle_gamma 90.00
_space_group_name_H-M_alt 'I m m 2'
_space_group_IT_number 44
_space_group_name_Hall 'I 2 -2'
loop_
_atom_site_label
_atom_site_type_symbol
_atom_site_fract_x
_atom_site_fract_y
_atom_site_fract_z
_atom_site_occupancy
Ca1 Ca 0.000 0.000 0.000 1
Pr1 Pr 0.000 0.000 0.308 1
Pr2 Pr 0.000 0.000 0.616 1
Pr3 Pr 0.000 0.319 0.564 1
Pr4 Pr 0.000 0.337 0.068 1
Pr5 Pr 0.000 0.500 0.819 1
Nd1 Nd 0.000 0.500 0.337 1
Nd2 Nd 0.234 0.234 0.809 1
```



An optimized crystal structure of CaPr6Nd12, computed with PBE-GGA.

## Properties
Volume (Å³/atom): 37.2
Total DFT energy (no corrections) (eV/cell): -253.55
DFT formation energy (eV per atom): 0.18

Cell and atoms, written as CIF:
```
data_CaPr6Nd12
_chemical_formula_sum 'Ca3 Pr18 Nd36'
_cell_length_a 13.7532
_cell_length_b 13.7532
_cell_length_c 12.9515
_cell_angle_alpha 90.00
_cell_angle_beta 90.00
_cell_angle_gamma 120.00
_space_group_name_H-M_alt 'R -3 m'
_space_group_IT_number 166
_space_group_name_Hall '-R 3 2"'
loop_
_atom_site_label
_atom_site_type_symbol
_atom_site_fract_x
_atom_site_fract_y
_atom_site_fract_z
_atom_site_occupancy
Ca1 Ca 0.0000 0.0000 0.0000 1
Pr1 Pr 0.0405 0.5202 0.6168 1
Nd1 Nd 0.0000 0.2603 0.5000 1
Nd2 Nd 0.0912 0.1824 0.2658 1
```



An optimized crystal structure of CaPr7Nd2, computed with PBE-GGA.

## Properties
Volume (Å³/atom): 43.2
Total DFT energy (no corrections) (eV/cell): -78.68
DFT formation energy (eV per atom): 0.57

Cell and atoms, written as CIF:
```
data_CaPr7Nd2
_chemical_formula_sum 'Ca2 Pr14 Nd4'
_cell_length_a 9.084
_cell_length_b 16.485
_cell_length_c 5.774
_cell_angle_alpha 90.00
_cell_angle_beta 90.00
_cell_angle_gamma 90.00
_space_group_name_H-M_alt 'C m m m'
_space_group_IT_number 65
_space_group_name_Hall '-C 2 2'
loop_
_atom_site_label
_atom_site_type_symbol
_atom_site_fract_x
_atom_site_fract_y
_atom_site_fract_z
_atom_site_occupancy
Ca1 Ca 0.000 0.000 0.000 1
Pr1 Pr 0.000 0.238 0.000 1
Pr2 Pr 0.000 0.500 0.500 1
Pr3 Pr 0.183 0.117 0.500 1
Nd1 Nd 0.000 0.297 0.500 1
```



An optimized crystal structure of Ca4PrNd3, computed with PBE-GGA.

## Properties
Volume (Å³/atom): 38.4
Total DFT energy (no corrections) (eV/cell): -53.85
DFT formation energy (eV per atom): 0.02

Cell and atoms, written as CIF:
```
data_Ca4PrNd3
_chemical_formula_sum 'Ca8 Pr2 Nd6'
_cell_length_a 5.350
_cell_length_b 10.699
_cell_length_c 10.731
_cell_angle_alpha 90.00
_cell_angle_beta 90.00
_cell_angle_gamma 90.00
_space_group_name_H-M_alt 'P m m n'
_space_group_IT_number 59
loop_
_space_group_symop_operation_xyz
'x,y,z'
'-x,-y,-z'
'-x+1/2,-y+1/2,z'
'x+1/2,y+1/2,-z'
'x+1/2,-y,-z'
'-x+1/2,y,z'
'-x,y+1/2,-z'
'x,-y+1/2,z'
loop_
_atom_site_label
_atom_site_type_symbol
_atom_site_fract_x
_atom_site_fract_y
_atom_site_fract_z
_atom_site_occupancy
Ca1 Ca 0.250 0.000 0.134 1
Ca2 Ca 0.250 0.250 0.866 1
Ca3 Ca 0.250 0.750 0.866 1
Pr1 Pr 0.250 0.250 0.389 1
Nd1 Nd 0.250 0.000 0.611 1
Nd2 Nd 0.250 0.750 0.389 1
```